DFT (PBE-GGA) results for crystalline CdCuPt2 at its relaxed geometry.

Output
Formation enthalpy at 0 K, meV/atom: 102

a b c (Å): 9.708 9.708 9.708
angles (deg): 157.00 157.00 32.75
Sites, in units of the cell vectors:
Cd: 0.000 0.000 0.000
Cd: 0.750 0.250 0.500
Cu: 0.250 0.750 0.500
Cu: 0.500 0.500 0.000
Pt: 0.142 0.625 0.017
Pt: 0.375 0.392 0.517
Pt: 0.608 0.125 0.983
Pt: 0.875 0.858 0.483